Record 1
{
  "formula": "YGe3Bi",
  "functional": "SCAN",
  "state": "PBEsol geometry",
  "lattice": [[5.2913, 0.0000, 0.0000], [0.0000, 5.2913, 0.0000], [0.0000, 0.0000, 5.2913]],
  "species": ["Y", "Ge", "Ge", "Ge", "Bi"],
  "frac_coords": [[0.0000, 0.0000, 0.0000], [0.0000, 0.5000, 0.5000], [0.5000, 0.0000, 0.5000], [0.5000, 0.5000, 0.0000], [0.5000, 0.5000, 0.5000]],
  "sg": "No. 221"
}



Record 2
{
  "formula": "FeCuOs2",
  "functional": "SCAN",
  "state": "PBEsol geometry",
  "lattice": [[-1.8370, 1.8370, 3.7423], [1.8370, -1.8370, 3.7423], [1.8370, 1.8370, -3.7423]],
  "species": ["Fe", "Cu", "Os", "Os"],
  "frac_coords": [[0.0000, 0.0000, 0.0000], [0.2500, 0.7500, 0.5000], [0.5000, 0.5000, 0.0000], [0.7500, 0.2500, 0.5000]],
  "de_polymorph_mev_per_atom": 68,
  "sg": "No. 119"
}



Record 3
{
  "formula": "BeCdCu2",
  "functional": "SCAN",
  "state": "PBEsol geometry",
  "lattice": [[-1.4268, 2.1146, 4.1271], [1.4268, -2.1146, 4.1271], [1.4268, 2.1146, -4.1271]],
  "species": ["Be", "Cd", "Cu", "Cu"],
  "frac_coords": [[0.0000, 0.0000, 0.0000], [0.5000, 0.5000, 0.0000], [0.2200, 0.7200, 0.5000], [0.7800, 0.2800, 0.5000]],
  "de_polymorph_mev_per_atom": 123,
  "sg": "No. 71"
}



| no. | formation energy from the elements (meV per atom) |
| --- | --- |
| 1 | 827 |
| 2 | 235 |
| 3 | 76 |